Here is an optimized crystal structure of RbIn6Pb6 from Alexandria via LeMat-Bulk. Energies are from PBE-GGA.

Results
As for the energy relative to the elements: -0.1 eV per formula unit. The space group is Immm (71).

Cell: 6.3186 8.6605 8.6605 Å, 83.46 68.61 68.61°
With the nearest neighbours (Å) after each atom.
Fractional coordinates of all 13 atoms:
Rb (0.0000, 0.0000, 0.0000)  8 Pb 3.98-4.12, 12 In 4.06-4.33
In (0.0000, 0.5000, 0.0000)  4 In 3.16-3.25, 6 Pb 3.31-3.50
In (0.5000, 0.5000, 0.0000)  4 In 3.16-3.25, 6 Pb 3.31-3.50
In (0.0000, 0.0000, 0.5000)  4 In 3.16-3.25, 6 Pb 3.31-3.50
In (0.5000, 0.0000, 0.5000)  4 In 3.16-3.25, 6 Pb 3.31-3.50
In (0.5000, 0.7789, 0.2211)  4 In 3.25, 6 Pb 3.51-3.60
In (0.5000, 0.2211, 0.7789)  4 In 3.25, 6 Pb 3.51-3.60
Pb (0.3563, 0.6437, 0.6437)  3 Pb 3.24-3.54, 6 In 3.50-3.60
Pb (0.6437, 0.3563, 0.3563)  3 Pb 3.24-3.54, 6 In 3.50-3.60
Pb (0.0000, 0.3575, 0.6425)  3 Pb 3.29-3.62, 6 In 3.46-3.53
Pb (0.0000, 0.6425, 0.3575)  3 Pb 3.29-3.62, 6 In 3.46-3.53
Pb (0.2858, 0.2142, 0.2142)  6 In 3.31-3.51, 4 Pb 3.54-3.62
Pb (0.7142, 0.7858, 0.7858)  6 In 3.31-3.51, 4 Pb 3.54-3.62

---

Here is an optimized crystal structure of RbIn4Pb2 from Alexandria via LeMat-Bulk. Energies are from PBE-GGA.

Results
As for the energy relative to the elements: 0.0 eV per formula unit. The space group is Immm (71). As for the energy above the most stable polymorph in this dataset: 0 meV per atom.

Cell: 4.9009 5.0974 10.1455 Å, 104.55 103.98 90.00°
With the nearest neighbours (Å) after each atom.
Fractional coordinates of all 7 atoms:
Rb (0.5000, 0.0000, 0.0000)  12 In 3.84-4.07, 4 Pb 4.13
In (0.6669, 0.6669, 0.3337)  2 In 2.97, 1 Pb 3.01
In (0.3331, 0.3331, 0.6663)  2 In 2.97, 1 Pb 3.01
In (0.0787, 0.5787, 0.1573)  3 In 2.97-2.99, 2 Pb 3.14
In (0.9213, 0.4213, 0.8427)  3 In 2.97-2.99, 2 Pb 3.14
Pb (0.8250, 0.8250, 0.6500)  3 In 3.01-3.14
Pb (0.1750, 0.1750, 0.3500)  3 In 3.01-3.14

---

Here is an optimized crystal structure of RbIn3Pb3 from Alexandria via LeMat-Bulk. Energies are from PBE-GGA.

Results
As for the energy relative to the elements: 0.5 eV per formula unit. The space group is Pm-3n (223). As for the energy above the most stable polymorph in this dataset: 88 meV per atom.

Cell: 8.4004 8.4004 8.4004 Å, 90.00 90.00 90.00°
With the nearest neighbours (Å) after each atom.
Fractional coordinates of all 14 atoms:
Pb (0.0000, 0.2500, 0.5000)  4 In 2.97
Pb (0.0000, 0.7500, 0.5000)  4 In 2.97
Pb (0.5000, 0.0000, 0.7500)  4 In 2.97
Pb (0.7500, 0.5000, 0.0000)  4 In 2.97
Pb (0.5000, 0.0000, 0.2500)  4 In 2.97
Pb (0.2500, 0.5000, 0.0000)  4 In 2.97
Rb (0.5000, 0.5000, 0.5000)  12 Pb 4.70, 12 In 4.70
Rb (0.0000, 0.0000, 0.0000)  12 In 4.70, 12 Pb 4.70
In (0.2500, 0.0000, 0.5000)  4 Pb 2.97
In (0.0000, 0.5000, 0.2500)  4 Pb 2.97
In (0.5000, 0.7500, 0.0000)  4 Pb 2.97
In (0.7500, 0.0000, 0.5000)  4 Pb 2.97
In (0.0000, 0.5000, 0.7500)  4 Pb 2.97
In (0.5000, 0.2500, 0.0000)  4 Pb 2.97

---

Here is an optimized crystal structure of RbInPb11 from Alexandria via LeMat-Bulk. Energies are from PBE-GGA.

Results
As for the energy relative to the elements: -0.3 eV per formula unit. The space group is C2/m (12).

Cell: 6.6060 8.7856 8.7573 Å, 82.22 67.84 68.97°
With the nearest neighbours (Å) after each atom.
Fractional coordinates of all 13 atoms:
Rb (0.0000, 0.0000, 0.0000)  18 Pb 4.09-4.39, 2 In 4.45
In (0.5000, 0.5000, 0.0000)  10 Pb 3.29-3.50
Pb (0.2843, 0.2229, 0.2187)  1 In 3.29, 8 Pb 3.36-3.66
Pb (0.7157, 0.7771, 0.7813)  1 In 3.29, 8 Pb 3.36-3.66
Pb (0.4970, 0.7771, 0.2187)  1 In 3.29, 8 Pb 3.36-3.66
Pb (0.5030, 0.2229, 0.7813)  1 In 3.29, 8 Pb 3.36-3.66
Pb (0.3583, 0.6433, 0.6474)  8 Pb 3.35-3.72, 1 In 3.50
Pb (0.6417, 0.3567, 0.3526)  8 Pb 3.35-3.72, 1 In 3.50
Pb (0.9943, 0.3567, 0.6474)  8 Pb 3.35-3.72, 1 In 3.50
Pb (0.0057, 0.6433, 0.3526)  8 Pb 3.35-3.72, 1 In 3.50
Pb (0.0000, 0.5000, 0.0000)  2 In 3.30, 8 Pb 3.36-3.51
Pb (0.5000, 0.0000, 0.5000)  10 Pb 3.30-3.60
Pb (0.0000, 0.0000, 0.5000)  10 Pb 3.30-3.60

---

Here is an optimized crystal structure of RbIn4Pb from Alexandria via LeMat-Bulk. Energies are from PBE-GGA.

Results
As for the energy relative to the elements: -0.4 eV per formula unit. The space group is C2/m (12). As for the energy above the most stable polymorph in this dataset: 4 meV per atom.

Cell: 7.3534 8.6859 7.3534 Å, 75.14 63.14 75.14°
With the nearest neighbours (Å) after each atom.
Fractional coordinates of all 12 atoms:
Rb (0.1946, 0.2201, 0.1946)  3 Pb 3.65-4.08, 6 In 3.69-3.93
Rb (0.8054, 0.7799, 0.8054)  3 Pb 3.65-4.08, 6 In 3.69-3.93
In (0.1817, 0.7165, 0.1817)  4 In 3.01-3.24, 1 Pb 3.15
In (0.7970, 0.5649, 0.4011)  3 In 3.01-3.05, 1 Pb 3.17
In (0.7895, 0.0000, 0.2105)  2 Pb 3.17, 3 In 3.24
In (0.5989, 0.4351, 0.2030)  3 In 3.01-3.05, 1 Pb 3.17
In (0.8183, 0.2835, 0.8183)  4 In 3.01-3.24, 1 Pb 3.15
In (0.2030, 0.4351, 0.5989)  3 In 3.01-3.05, 1 Pb 3.17
In (0.2105, 0.0000, 0.7895)  2 Pb 3.17, 3 In 3.24
In (0.4011, 0.5649, 0.7970)  3 In 3.01-3.05, 1 Pb 3.17
Pb (0.4018, 0.8206, 0.4018)  5 In 3.15-3.17
Pb (0.5982, 0.1794, 0.5982)  5 In 3.15-3.17

---

Here is an optimized crystal structure of RbIn4Pb12 from Alexandria via LeMat-Bulk. Energies are from PBE-GGA.

Results
As for the energy relative to the elements: 2.0 eV per formula unit. The space group is Im-3 (204).

Cell: 9.1877 9.1877 9.1877 Å, 109.47 109.47 109.47°
With the nearest neighbours (Å) after each atom.
Fractional coordinates of all 17 atoms:
Rb (0.0000, 0.0000, 0.0000)  12 Pb 4.08
In (0.0000, 0.5000, 0.0000)  6 Pb 3.06
In (0.5000, 0.0000, 0.0000)  6 Pb 3.06
In (0.5000, 0.5000, 0.5000)  6 Pb 3.06
In (0.0000, 0.0000, 0.5000)  6 Pb 3.06
Pb (0.8485, 0.3538, 0.2023)  2 In 3.06, 2 Pb 3.10-3.22
Pb (0.3538, 0.5053, 0.1515)  2 In 3.06, 2 Pb 3.10-3.22
Pb (0.7977, 0.1515, 0.6462)  2 In 3.06, 2 Pb 3.10-3.22
Pb (0.3538, 0.2023, 0.8485)  2 In 3.06, 2 Pb 3.10-3.22
Pb (0.2023, 0.8485, 0.3538)  2 In 3.06, 2 Pb 3.10-3.22
Pb (0.6462, 0.4947, 0.8485)  2 In 3.06, 2 Pb 3.10-3.22
Pb (0.5053, 0.1515, 0.3538)  2 In 3.06, 2 Pb 3.10-3.22
Pb (0.4947, 0.8485, 0.6462)  2 In 3.06, 2 Pb 3.10-3.22
Pb (0.6462, 0.7977, 0.1515)  2 In 3.06, 2 Pb 3.10-3.22
Pb (0.8485, 0.6462, 0.4947)  2 In 3.06, 2 Pb 3.10-3.22
Pb (0.1515, 0.3538, 0.5053)  2 In 3.06, 2 Pb 3.10-3.22
Pb (0.1515, 0.6462, 0.7977)  2 In 3.06, 2 Pb 3.10-3.22

---

Here is an optimized crystal structure of Rb3In2Pb9 from Alexandria via LeMat-Bulk. Energies are from PBE-GGA.

Results
As for the energy relative to the elements: -1.3 eV per formula unit. The space group is Immm (71).

Cell: 5.4241 9.9925 9.9925 Å, 76.62 74.25 74.25°
With the nearest neighbours (Å) after each atom.
Fractional coordinates of all 14 atoms:
Rb (0.0000, 0.0000, 0.0000)  12 Pb 3.79-4.15, 2 Rb 4.22
Rb (0.7134, 0.2866, 0.2866)  2 In 3.72, 12 Pb 3.92-4.15
Rb (0.2866, 0.7134, 0.7134)  2 In 3.72, 12 Pb 3.92-4.15
In (0.5000, 0.3389, 0.6611)  4 Pb 3.16-3.37
In (0.5000, 0.6611, 0.3389)  4 Pb 3.16-3.37
Pb (0.0000, 0.5000, 0.5000)  4 In 3.37, 4 Pb 3.45
Pb (0.6350, 0.0054, 0.7246)  1 In 3.16, 4 Pb 3.25-3.48
Pb (0.3650, 0.9946, 0.2754)  1 In 3.16, 4 Pb 3.25-3.48
Pb (0.6350, 0.7246, 0.0054)  1 In 3.16, 4 Pb 3.25-3.48
Pb (0.3650, 0.2754, 0.9946)  1 In 3.16, 4 Pb 3.25-3.48
Pb (0.8510, 0.8645, 0.4336)  4 Pb 3.25-3.45, 2 In 3.55
Pb (0.1490, 0.1355, 0.5664)  4 Pb 3.25-3.45, 2 In 3.55
Pb (0.8510, 0.4336, 0.8645)  4 Pb 3.25-3.45, 2 In 3.55
Pb (0.1490, 0.5664, 0.1355)  4 Pb 3.25-3.45, 2 In 3.55

---

Here is an optimized crystal structure of Rb2In2Pb3 from Alexandria via LeMat-Bulk. Energies are from PBE-GGA.

Results
As for the energy relative to the elements: -0.7 eV per formula unit. The space group is C2/m (12).

Cell: 4.9457 7.2151 8.6768 Å, 116.28 90.00 110.04°
With the nearest neighbours (Å) after each atom.
Fractional coordinates of all 7 atoms:
Rb (0.8475, 0.6951, 0.2017)  7 Pb 3.76-4.18, 4 In 3.87-4.08, 2 Rb 4.08
Rb (0.1525, 0.3049, 0.7983)  7 Pb 3.76-4.18, 4 In 3.87-4.08, 2 Rb 4.08
In (0.8496, 0.6992, 0.7331)  5 Pb 3.15-3.34
In (0.1504, 0.3008, 0.2669)  5 Pb 3.15-3.34
Pb (0.5000, 0.0000, 0.0000)  4 In 3.34, 2 Pb 3.41
Pb (0.5982, 0.1963, 0.4410)  3 In 3.15, 2 Pb 3.27-3.41
Pb (0.4018, 0.8037, 0.5590)  3 In 3.15, 2 Pb 3.27-3.41

---

For each record above, in turn, the calculated electronic total energy values are -39.77; -19.33; -39.55; -44.81; -31.97; -54.46; -43.01; -19.24 eV per cell.
For each record above, in turn, the calculated DOS at the Fermi energy values are 0.595; 0.401; 0.792; 0.360; 0.364; 0.655; 0.448; 0.532 states/eV per atom.